{
  "formula": "TlBiTe2O8",
  "functional": "PBE",
  "state": "relaxed",
  "space_group": "R-3, No. 148",
  "cell": [[-0.763, -4.836, -2.760], [4.214, -2.234, -2.973], [3.743, -6.743, 5.059]],
  "species": ["O", "O", "O", "O", "O", "O", "O", "O", "Tl", "Bi", "Te", "Te"],
  "fractional_positions": [[0.267, 0.974, 0.163], [0.816, 0.816, 0.552], [0.733, 0.026, 0.837], [0.184, 0.184, 0.448], [0.974, 0.596, 0.163], [0.026, 0.404, 0.837], [0.404, 0.733, 0.837], [0.596, 0.267, 0.163], [0.500, 0.500, 0.500], [0.000, 0.000, 0.000], [0.254, 0.254, 0.237], [0.746, 0.746, 0.763]]
}

{
  "formula": "Tl2BiTeO6",
  "functional": "PBE",
  "state": "relaxed",
  "space_group": "R-3m, No. 166",
  "cell": [[6.382, 0.000, 0.000], [3.191, 5.527, 0.000], [3.191, 1.842, 9.827]],
  "species": ["Te", "Te", "O", "O", "O", "O", "O", "O", "O", "O", "O", "O", "O", "O", "Bi", "Bi", "Tl", "Tl", "Tl", "Tl"],
  "fractional_positions": [[0.500, 0.500, 0.500], [0.000, 0.000, 0.000], [0.819, 0.819, 0.123], [0.596, 0.180, 0.627], [0.820, 0.404, 0.373], [0.404, 0.404, 0.373], [0.404, 0.820, 0.373], [0.819, 0.239, 0.123], [0.761, 0.181, 0.877], [0.239, 0.819, 0.123], [0.596, 0.596, 0.627], [0.180, 0.596, 0.627], [0.181, 0.761, 0.877], [0.181, 0.181, 0.877], [0.602, 0.602, 0.194], [0.398, 0.398, 0.806], [0.873, 0.873, 0.380], [0.738, 0.738, 0.786], [0.262, 0.262, 0.214], [0.127, 0.127, 0.620]]
}

Table of formation energy (no corrections) (kJ/mol of atoms), in record order: -84.5, -82.4
Table of size of the total moment (μB per formula unit), in record order: 0.0, 0.0